No. 1
Sc3Al2Ga3 | Alexandria via LeMat-Bulk | PBE | relaxed; magnetic moment = 0.0 Bohr magnetons per cell; DFT formation energy = -4.3 eV per formula unit; uncorrected energy = -4.980 eV per atom
1.0
-2.101 0.798 -3.527
4.453 -3.287 -0.916
-7.826 -11.195 2.128
Sc Al Ga
6 4 6
direct
0.929 0.859 0.384
0.071 0.141 0.884
0.929 0.859 0.116
0.071 0.141 0.616
0.652 0.304 0.250
0.348 0.696 0.750
0.781 0.561 0.897
0.219 0.439 0.397
0.781 0.561 0.603
0.219 0.439 0.103
0.608 0.216 0.456
0.392 0.784 0.956
0.608 0.216 0.044
0.392 0.784 0.544
0.372 0.744 0.250
0.628 0.256 0.750

---

No. 2
Sc5Al2Ga5 | Alexandria via LeMat-Bulk | PBE | relaxed; magnetic moment = 0.0 Bohr magnetons per cell; DFT formation energy = -6.5 eV per formula unit; uncorrected energy = -5.067 eV per atom
1.0
-1.672 3.970 0.291
-4.333 0.972 -6.115
-5.752 -0.451 5.120
Sc Al Ga
5 2 5
direct
0.000 0.500 0.500
0.682 0.716 0.919
0.348 0.974 0.329
0.652 0.026 0.671
0.318 0.284 0.081
0.394 0.455 0.757
0.606 0.545 0.243
0.704 0.233 0.359
0.945 0.291 0.818
0.055 0.709 0.182
0.296 0.767 0.641
0.000 0.000 0.000

---

No. 3
Sc5AlGa4 | Alexandria via LeMat-Bulk | PBE | relaxed; magnetic moment = 0.0 Bohr magnetons per cell; DFT formation energy = -5.6 eV per formula unit; uncorrected energy = -5.312 eV per atom
1.0
3.351 0.000 0.000
0.000 3.351 0.000
0.000 0.000 16.915
Sc Al Ga
5 1 4
direct
0.500 0.500 0.102
0.500 0.500 0.300
0.500 0.500 0.500
0.500 0.500 0.700
0.500 0.500 0.898
0.000 0.000 0.000
0.000 0.000 0.201
0.000 0.000 0.400
0.000 0.000 0.600
0.000 0.000 0.799